Density functional theory data (PBE with a Hubbard U) for a geometry-optimized SrW3O9 structure.

a b c (Å): 5.668 7.689 8.263
angles (deg): 90.00 93.14 90.00
Sites, in units of the cell vectors:
Sr: 0.033 0.250 0.432
Sr: 0.967 0.750 0.568
W: 0.000 0.000 0.000
W: 0.000 0.500 0.000
W: 0.469 0.002 0.694
W: 0.469 0.498 0.694
W: 0.531 0.502 0.306
W: 0.531 0.998 0.306
O: 0.056 0.250 0.990
O: 0.174 0.541 0.795
O: 0.174 0.959 0.795
O: 0.280 0.530 0.479
O: 0.280 0.970 0.479
O: 0.303 0.534 0.138
O: 0.303 0.966 0.138
O: 0.395 0.250 0.678
O: 0.462 0.250 0.308
O: 0.538 0.750 0.692
O: 0.605 0.750 0.322
O: 0.697 0.034 0.862
O: 0.697 0.466 0.862
O: 0.720 0.030 0.521
O: 0.720 0.470 0.521
O: 0.826 0.041 0.205
O: 0.826 0.459 0.205
O: 0.944 0.750 0.010

Spin magnetization (Bohr magnetons per cell): 4.00
Space group: P2_1/m, No. 11
Volume (A^3/atom): 13.83
Energy (eV per atom): -7.453